[1]
Compound: K2SrZn
Source: the Alexandria database
Functional: PBE
Structure: optimized geometry

a b c (Å): 8.5445 8.5445 8.5445
angles (deg): 99.03 99.03 133.33
Closest atoms and distances in Å follow each position.
Fractional coordinates of all 8 atoms:
K1 0.0392 0.6250 0.9142  2 Zn 3.42
K2 0.3750 0.2892 0.4142  2 Zn 3.42
K3 0.7108 0.1250 0.0858  2 Zn 3.42
K4 0.8750 0.9608 0.5858  2 Zn 3.42
Sr1 0.2500 0.7500 0.5000  2 Zn 3.38
Sr2 0.5000 0.5000 0.0000  2 Zn 3.38
Zn1 0.0000 0.0000 0.0000  2 Sr 3.38, 4 K 3.42
Zn2 0.7500 0.2500 0.5000  2 Sr 3.38, 4 K 3.42

Properties
Formation energy from the elements in eV/atom: 0.194
DOS(E_F) in states/eV per cell: 6.43
Total magnetization in μB per formula unit: 0.000

***

[2]
Compound: Tb6Nd2Ho3Pb
Source: the Alexandria database
Functional: PBE
Structure: optimized geometry

a b c (Å): 6.1192 6.1192 11.7969
angles (deg): 94.97 94.97 120.02
Closest atoms and distances in Å follow each position.
Fractional coordinates of all 12 atoms:
Tb1 0.0832 0.4099 0.7515  6 Tb 3.46-3.57, 3 Ho 3.52-3.56, 1 Pb 3.54, 2 Nd 3.58
Tb2 0.2430 0.2430 0.2473  6 Tb 3.46-3.57, 3 Ho 3.52-3.55, 1 Pb 3.55, 2 Nd 3.58
Tb3 0.4099 0.0832 0.7515  6 Tb 3.46-3.57, 3 Ho 3.52-3.56, 1 Pb 3.54, 2 Nd 3.58
Tb4 0.5901 0.9168 0.2485  6 Tb 3.46-3.57, 3 Ho 3.52-3.56, 1 Pb 3.54, 2 Nd 3.58
Tb5 0.7570 0.7570 0.7527  6 Tb 3.46-3.57, 3 Ho 3.52-3.55, 1 Pb 3.55, 2 Nd 3.58
Tb6 0.9168 0.5901 0.2485  6 Tb 3.46-3.57, 3 Ho 3.52-3.56, 1 Pb 3.54, 2 Nd 3.58
Nd1 0.3339 0.6661 0.5000  3 Nd 3.52-3.54, 3 Pb 3.53-3.54, 6 Tb 3.58
Nd2 0.6661 0.3339 0.5000  3 Nd 3.52-3.54, 3 Pb 3.53-3.54, 6 Tb 3.58
Ho1 0.1675 0.8325 0.0000  6 Tb 3.52-3.56, 6 Ho 3.52-3.55
Ho2 0.5000 0.5000 0.0000  6 Ho 3.52-3.54, 6 Tb 3.52-3.55
Ho3 0.8325 0.1675 0.0000  6 Tb 3.52-3.56, 6 Ho 3.52-3.55
Pb1 0.0000 0.0000 0.5000  6 Nd 3.53-3.54, 6 Tb 3.54-3.55

Properties
Formation energy from the elements in eV/atom: -0.066
DOS(E_F) in states/eV per cell: 13.30
Total magnetization in μB per formula unit: 0.000

***

[3]
Compound: La3Er2Zn3
Source: the Alexandria database
Functional: PBE
Structure: optimized geometry

a b c (Å): 11.4678 11.4678 11.4678
angles (deg): 161.43 152.70 33.23
Closest atoms and distances in Å follow each position.
Fractional coordinates of all 8 atoms:
La1 0.0000 0.0000 0.0000  8 Zn 3.28
La2 0.3799 0.8799 0.5000  6 Zn 3.22-3.28
La3 0.6201 0.1201 0.5000  6 Zn 3.22-3.28
Er1 0.2307 0.2307 0.0000  2 Zn 3.00
Er2 0.7693 0.7693 0.0000  2 Zn 3.00
Zn1 0.1232 0.6232 0.5000  2 Er 3.00, 6 La 3.28
Zn2 0.5000 0.5000 0.0000  8 La 3.22-3.28
Zn3 0.8768 0.3768 0.5000  2 Er 3.00, 6 La 3.28

Properties
Formation energy from the elements in eV/atom: -0.236
DOS(E_F) in states/eV per cell: 9.35
Total magnetization in μB per formula unit: 0.000

***

[4]
Compound: KNp2AgO7
Source: the Alexandria database
Functional: PBE
Structure: optimized geometry

a b c (Å): 4.2107 4.2107 10.7198
angles (deg): 90.00 90.00 90.00
Closest atoms and distances in Å follow each position.
Fractional coordinates of all 11 atoms:
K1 0.0000 0.0000 0.0000  12 O 2.92-2.98
Np1 0.5000 0.5000 0.1992  5 O 1.89-2.11
Np2 0.5000 0.5000 0.8008  5 O 1.89-2.11
Ag1 0.0000 0.0000 0.5000  8 O 3.26
O1 0.0000 0.5000 0.1882  2 Np 2.11
O2 0.0000 0.5000 0.8118  2 Np 2.11
O3 0.5000 0.0000 0.1882  2 Np 2.11
O4 0.5000 0.0000 0.8118  2 Np 2.11
O5 0.5000 0.5000 0.0000  2 Np 2.14
O6 0.5000 0.5000 0.3758  1 Np 1.89
O7 0.5000 0.5000 0.6242  1 Np 1.89

Properties
DOS(E_F) in states/eV per cell: 6.43
E_form (uncorrected) in meV/atom: -2160.6
Total magnetization in μB per formula unit: 1.989

***

[5]
Compound: DyY2ScS4
Source: the Alexandria database
Functional: PBE
Structure: optimized geometry

a b c (Å): 6.7007 3.8365 6.7180
angles (deg): 90.00 109.16 90.00
Closest atoms and distances in Å follow each position.
Fractional coordinates of all 8 atoms:
Dy1 0.0000 0.0000 0.0000  6 S 2.73
Y1 0.0000 0.5000 0.5000  6 S 2.79-2.80
Y2 0.5000 0.0000 0.5000  6 S 2.74
Sc1 0.5000 0.5000 0.0000  6 S 2.67
S1 0.2550 0.5000 0.2436  1 Sc 2.67, 2 Dy 2.73, 3 Y 2.74-2.80
S2 0.2610 0.0000 0.7616  2 Sc 2.67, 1 Dy 2.73, 3 Y 2.74-2.79
S3 0.7390 0.0000 0.2384  2 Sc 2.67, 1 Dy 2.73, 3 Y 2.74-2.79
S4 0.7450 0.5000 0.7564  1 Sc 2.67, 2 Dy 2.73, 3 Y 2.74-2.80

Properties
DOS(E_F) in states/eV per cell: 5.12
E_form (uncorrected) in meV/atom: -1948.7
Total magnetization in μB per formula unit: 0.000

***

[6]
Compound: TaCuAsBr2
Source: the Alexandria database
Functional: PBE
Structure: optimized geometry

a b c (Å): 5.0852 5.0852 5.1210
angles (deg): 90.00 90.00 90.00
Closest atoms and distances in Å follow each position.
Fractional coordinates of all 5 atoms:
Ta1 0.0000 0.0000 0.0000  4 Br 2.54, 2 As 2.56
Cu1 0.5000 0.5000 0.5000  4 As 3.60, 8 Br 3.61
As1 0.0000 0.0000 0.5000  2 Ta 2.56
Br1 0.0000 0.5000 0.0000  2 Ta 2.54
Br2 0.5000 0.0000 0.0000  2 Ta 2.54

Properties
DOS(E_F) in states/eV per cell: 2.01
E_form (uncorrected) in meV/atom: 414.6
E above lowest polymorph in meV/atom: 0.0
Total magnetization in μB per formula unit: 0.000

***

[7]
Compound: Er2PaSi6
Source: the Alexandria database
Functional: PBE
Structure: optimized geometry

a b c (Å): 7.0411 7.0411 3.8995
angles (deg): 90.00 90.00 120.00
Closest atoms and distances in Å follow each position.
Fractional coordinates of all 9 atoms:
Er1 0.3333 0.6667 0.0000  12 Si 3.05
Er2 0.6667 0.3333 0.0000  12 Si 3.05
Pa1 0.0000 0.0000 0.0000  12 Si 3.05
Si1 0.0000 0.3329 0.5000  3 Si 2.34-2.35
Si2 0.0000 0.6671 0.5000  3 Si 2.34-2.35
Si3 0.3329 0.0000 0.5000  3 Si 2.34-2.35
Si4 0.3329 0.3329 0.5000  3 Si 2.34-2.35
Si5 0.6671 0.0000 0.5000  3 Si 2.34-2.35
Si6 0.6671 0.6671 0.5000  3 Si 2.34-2.35

Properties
DOS(E_F) in states/eV per cell: 6.31
E_form (uncorrected) in meV/atom: -528.3
Total magnetization in μB per formula unit: 0.000

***

[8]
Compound: YNi2Mo
Source: the Alexandria database
Functional: PBE
Structure: optimized geometry

a b c (Å): 3.2475 4.1773 4.9425
angles (deg): 90.00 100.73 90.00
Closest atoms and distances in Å follow each position.
Fractional coordinates of all 4 atoms:
Y1 0.0000 0.0000 0.0000  7 Ni 2.67-2.92
Ni1 0.4097 0.0000 0.5214  2 Mo 2.45, 2 Ni 2.58, 1 Y 2.67
Ni2 0.4324 0.5000 0.8291  2 Mo 2.42-2.70, 2 Ni 2.58
Mo1 0.7490 0.5000 0.4222  4 Ni 2.42-2.70

Properties
Formation energy from the elements in eV/atom: 0.025
DOS(E_F) in states/eV per cell: 3.57
E above lowest polymorph in meV/atom: 119.7
Total magnetization in μB per formula unit: 0.000

***

[9]
Compound: CaMg2Au2
Source: the Alexandria database
Functional: PBE
Structure: optimized geometry

a b c (Å): 8.0118 8.0118 3.2550
angles (deg): 90.00 90.00 90.00
Closest atoms and distances in Å follow each position.
Fractional coordinates of all 10 atoms:
Ca1 0.0000 0.0000 0.0000  4 Mg 3.16, 2 Ca 3.26, 8 Au 3.38
Ca2 0.5000 0.5000 0.0000  4 Mg 3.16, 2 Ca 3.26, 8 Au 3.38
Mg1 0.1259 0.3741 0.0000  6 Au 2.81-2.91, 1 Mg 2.85
Mg2 0.3741 0.8741 0.0000  6 Au 2.81-2.91, 1 Mg 2.85
Mg3 0.6259 0.1259 0.0000  6 Au 2.81-2.91, 1 Mg 2.85
Mg4 0.8741 0.6259 0.0000  6 Au 2.81-2.91, 1 Mg 2.85
Au1 0.1721 0.6721 0.5000  6 Mg 2.81-2.91
Au2 0.3279 0.1721 0.5000  6 Mg 2.81-2.91
Au3 0.6721 0.8279 0.5000  6 Mg 2.81-2.91
Au4 0.8279 0.3279 0.5000  6 Mg 2.81-2.91

Properties
Formation energy from the elements in eV/atom: -0.532
DOS(E_F) in states/eV per cell: 4.08
E above lowest polymorph in meV/atom: 93.1
Total magnetization in μB per formula unit: 0.000

***

[10]
Compound: Ta5VRe4
Source: the Alexandria database
Functional: PBE
Structure: optimized geometry

a b c (Å): 3.1949 3.1949 16.0142
angles (deg): 90.00 90.00 90.00
Closest atoms and distances in Å follow each position.
Fractional coordinates of all 10 atoms:
Ta1 0.0000 0.0000 0.0000  8 Re 2.77
Ta2 0.0000 0.0000 0.2007  8 Re 2.77
Ta3 0.0000 0.0000 0.4005  4 V 2.76, 4 Re 2.77
Ta4 0.0000 0.0000 0.5995  4 V 2.76, 4 Re 2.77
Ta5 0.0000 0.0000 0.7993  8 Re 2.77
V1 0.5000 0.5000 0.5000  8 Ta 2.76
Re1 0.5000 0.5000 0.1002  8 Ta 2.77
Re2 0.5000 0.5000 0.3009  8 Ta 2.77
Re3 0.5000 0.5000 0.6991  8 Ta 2.77
Re4 0.5000 0.5000 0.8998  8 Ta 2.77

Properties
Formation energy from the elements in eV/atom: -0.362
DOS(E_F) in states/eV per cell: 3.90
Total magnetization in μB per formula unit: 0.000

***

> Among the records above, which one has the lowest DOS(E_F)?

TaCuAsBr2